The following is a DFT calculation (PBE-GGA) of PrDyHo2 after structural relaxation.

Unit cell a=3.591 b=3.591 c=11.787 alpha=81.24 beta=81.24 gamma=60.00
Positions (direct):
Pr 0.500 0.500 0.499
Dy 0.666 0.666 0.001
Ho 0.081 0.081 0.756
Ho 0.252 0.252 0.245

ΔH_f (0 K), eV/atom: 0.022
Crystal system: trigonal
Distance to the lowest polymorph of the same formula, meV/atom: 20.9
Symmetry: R3m
Density of states at the Fermi level, states/eV/f.u.: 5.6